1.
This record from the Open Quantum Materials Database describes crystalline ZnSeO3 at its relaxed geometry. The functional is GGA-PBE.

```
10
Lattice="2.616 1.511 4.892 -2.616 1.511 4.892 0.000 -3.021 4.892" Properties=species:S:1:pos:R:3 pbc="T T T"
Zn 0.000 0.000 0.000
Zn 0.000 0.000 7.338
Se 0.000 0.000 3.669
Se 0.000 0.000 11.007
O -1.694 0.087 6.115
O -0.923 -1.423 8.561
O 0.771 -1.511 6.115
O -0.771 1.511 8.561
O 0.923 1.423 6.115
O 1.694 -0.087 8.561
```

Calculated values
DFT total energy in eV/atom: -4.4715
Space-group type: R-3c, No. 167


2.
This record from the Open Quantum Materials Database describes crystalline TaInS2 at its relaxed geometry. The functional is GGA-PBE.

```
8
Lattice="3.341 0.000 0.000 -1.671 2.894 0.000 0.000 0.000 16.978" Properties=species:S:1:pos:R:3 pbc="T T T"
Ta 0.000 0.000 4.244
Ta 0.000 0.000 12.733
In 0.000 0.000 0.000
In 0.000 0.000 8.489
S 0.000 1.929 2.674
S 0.000 1.929 5.815
S 1.671 0.965 11.163
S 1.671 0.965 14.303
```

Calculated values
DFT total energy in eV/atom: -6.5512
Space-group type: P6_3/mmc, No. 194